Below is a geometry-optimized KSc2P structure, with properties calculated at the PBE-GGA level.

Cell: 3.432 5.814 11.045 Å, 90.00 90.00 90.00°
Space group Immm (No. 71)
Unique sites:
K (0.000, 0.000, 0.000) (multiplicity 2)
Sc (0.000, 0.500, 0.173) (multiplicity 4)
P (0.000, 0.000, 0.500) (multiplicity 2)

* volume: 27.55 A^3/atom
* final energy: -5.087 eV/atom
* energy relative to the elements: -294 meV per atom
* total magnetic moment: 0.0 μB per cell

---

Below is a geometry-optimized KSc2P2 structure, with properties calculated at the PBE-GGA level.

Cell: 7.748 7.748 3.347 Å, 90.00 90.00 90.00°
Space group P4/mbm (No. 127)
Unique sites:
K (0.000, 0.000, 0.000) (multiplicity 2)
Sc (0.130, 0.370, 0.000) (multiplicity 4)
P (0.159, 0.659, 0.500) (multiplicity 4)

* volume: 20.09 A^3/atom
* final energy: -5.598 eV/atom
* energy relative to the elements: -682 meV per atom
* total magnetic moment: 1.8 μB per cell
* ΔE to the lowest computed polymorph: 123.3 kJ/mol of formula units